# 1
## Fe3Tc4 (PBE)

Data for Fe3Tc4 after structural relaxation.

The value obtained for the offset from the most stable computed form is 0.37 eV/f.u. Its crystal system is tetragonal. The value obtained for the total magnetic moment is 1.1779 μB per atom.

```
Fe3Tc4
1.0
-1.505 1.505 10.402
1.505 -1.505 10.402
1.505 1.505 -10.402
Fe Tc
3 4
Direct
0.000 0.000 0.000
0.281 0.281 0.000
0.719 0.719 0.000
0.146 0.146 0.000
0.429 0.429 0.000
0.571 0.571 0.000
0.854 0.854 0.000
```


# 2
## Li3As (PBE)

Data for Li3As after structural relaxation.

The raw total energy is -3.308 eV/atom. Its crystal system is hexagonal. The value obtained for the total magnetic moment is 0.0000 μB per atom.

```
Li3As
1.0
4.374 0.000 0.000
-2.187 3.788 0.000
0.000 0.000 7.810
Li As
6 2
Direct
0.000 0.000 0.250
0.000 0.000 0.750
0.333 0.667 0.085
0.333 0.667 0.415
0.667 0.333 0.585
0.667 0.333 0.915
0.333 0.667 0.750
0.667 0.333 0.250
```


# 3
## Sr2Li2MgGa (PBE)

Data for Sr2Li2MgGa after structural relaxation.

The raw total energy is -2.078 eV/atom. Its crystal system is orthorhombic. The value obtained for the total magnetic moment is 0.0000 μB per atom.

```
Sr2Li2MgGa
1.0
-3.382 7.688 3.519
3.382 -7.688 3.519
3.382 7.688 -3.519
Sr Li Mg Ga
4 4 2 2
Direct
0.160 0.234 0.394
0.340 0.734 0.073
0.660 0.266 0.927
0.840 0.766 0.606
0.090 0.772 0.862
0.410 0.272 0.683
0.590 0.728 0.317
0.910 0.228 0.138
0.250 0.750 0.500
0.750 0.250 0.500
0.250 0.250 0.000
0.750 0.750 0.000
```


# 4
## Ca2ScSn3Pt4 (PBE)

Data for Ca2ScSn3Pt4 after structural relaxation.

The raw total energy is -5.497 eV/atom. Its crystal system is tetragonal. The value obtained for the total magnetic moment is 0.0000 μB per atom.

```
Ca2ScSn3Pt4
1.0
4.414 0.000 0.000
0.000 4.414 0.000
0.000 0.000 11.530
Ca Sc Sn Pt
2 1 3 4
Direct
0.000 0.500 0.239
0.500 0.000 0.761
0.000 0.000 0.500
0.000 0.500 0.868
0.500 0.000 0.132
0.500 0.500 0.500
0.000 0.000 0.000
0.000 0.500 0.640
0.500 0.000 0.360
0.500 0.500 0.000
```


Number 4 is which compound? Ca2ScSn3Pt4


The highest total magnetic moment belongs to which entry? Fe3Tc4


Which value of total magnetic moment does entry 1 give? 1.1779 μB per atom


What is the formula in the second record? Li3As